Record 1
This record from Alexandria describes a relaxed structure of YbPrRh2. The functional is GGA-PBE.

a b c (Å): 6.976 6.976 6.976
angles (deg): 90.00 90.00 90.00
Space group Fm-3m (No. 225)
Inequivalent atoms, fractional coordinates:
Yb1 0.000 0.000 0.000 x4
Pr1 0.000 0.000 0.500 x4
Rh1 0.250 0.250 0.250 x8

Summary:
Size of the total moment in μB/f.u.: 0.279
Crystal system: cubic
E in eV per atom: -5.844
Formation energy in kcal/mol of atoms: -13.6
Calculated volume in Å³ per cell: 339.55

---

Record 2
This record from Alexandria describes a relaxed structure of PrZn12Rh4. The functional is GGA-PBE.

a b c (Å): 8.646 8.646 8.646
angles (deg): 90.00 90.00 90.00
Space group Im-3 (No. 204)
Inequivalent atoms, fractional coordinates:
Pr1 0.000 0.000 0.000 x2
Zn1 0.000 0.156 0.352 x24
Rh1 0.250 0.250 0.250 x8

Summary:
Size of the total moment in μB/f.u.: 0.000
Crystal system: cubic
E in eV per atom: -2.862
Formation energy in kcal/mol of atoms: 1.1
Calculated volume in Å³ per cell: 646.35